(1)
VASP calculation (PBE) on a relaxed structure of LiCd5Ag2Hg.

```
LiCd5Ag2Hg
1.0
3.795 0.000 0.000
-1.897 7.759 0.000
0.000 0.000 12.843
Cd Li Ag Hg
10 2 4 2
Cartesian
0.000 0.011 7.536
1.897 1.253 9.514
1.897 3.957 10.705
0.000 5.850 9.108
0.000 5.825 12.579
0.000 6.506 3.092
1.897 1.934 6.157
1.897 7.748 1.115
0.000 3.802 4.284
1.897 1.909 2.687
1.897 1.206 12.251
0.000 6.553 5.829
0.000 0.521 4.478
1.897 4.701 1.879
1.897 7.239 10.900
0.000 3.058 8.301
1.897 4.807 6.745
0.000 2.952 0.324
```

Properties
total moment = 0.00 μB per cell
DOS(E_F) = 0.251 states/eV/atom
E = -25.84 eV for the cell shown

---

(2)
VASP calculation (PBE) on a relaxed structure of LiCdAgHg.

```
LiCdAgHg
1.0
4.763 0.000 0.000
2.381 4.125 0.000
2.381 1.375 3.889
Hg Ag Li Cd
1 1 1 1
Cartesian
2.381 1.375 0.972
0.000 0.000 0.000
4.763 2.750 1.944
7.144 4.125 2.917
```

Properties
total moment = 0.00 μB per cell
DOS(E_F) = 0.498 states/eV/atom
excess energy over the best structure of this formula in the dataset = 3.7 kJ/mol of formula units
E = -6.68 eV for the cell shown

---

(3)
VASP calculation (PBE) on a relaxed structure of LiCd2AgHg.

```
LiCd2AgHg
1.0
4.551 0.000 0.000
-2.275 4.960 -0.624
0.000 -2.012 9.805
Li Cd Hg Ag
2 4 2 2
Cartesian
0.000 4.295 0.518
2.275 -1.348 8.663
2.275 2.760 0.894
2.275 1.065 3.426
0.000 0.188 8.286
0.000 1.882 5.755
0.000 3.095 3.039
2.275 -0.148 6.142
0.000 0.873 1.107
2.275 2.075 8.074
```

Properties
total moment = 0.00 μB per cell
DOS(E_F) = 0.315 states/eV/atom
E = -14.42 eV for the cell shown

---

(4)
VASP calculation (PBE) on a relaxed structure of Li2CdAgHg2.

```
Li2CdAgHg2
1.0
5.791 0.000 0.000
0.000 5.802 0.000
-2.896 -2.901 7.328
Ag Cd Hg Li
2 2 4 4
Cartesian
1.448 2.901 0.000
4.344 2.901 0.000
1.448 0.000 0.000
4.344 0.000 0.000
2.896 1.539 4.914
0.000 -1.539 4.914
0.000 1.362 2.414
2.896 4.441 2.414
2.896 1.610 2.202
0.000 4.192 2.202
0.000 1.291 5.125
2.896 -1.291 5.125
```

Properties
total moment = 0.00 μB per cell
DOS(E_F) = 0.292 states/eV/atom
E = -18.38 eV for the cell shown

---

(5)
VASP calculation (PBE) on a relaxed structure of LiCdAgHg3.

```
LiCdAgHg3
1.0
-3.593 1.076 -0.059
-0.939 -3.522 -7.070
-1.795 -5.599 7.245
Cd Hg Li Ag
2 6 2 2
Cartesian
-4.592 -5.331 3.603
-1.735 -2.715 -3.487
-3.448 -1.768 -1.097
-2.706 -5.442 6.008
-2.401 -4.823 -1.337
-3.926 -3.223 1.453
-2.878 -6.278 1.213
-3.620 -2.604 -5.892
-4.814 -6.329 -1.056
-1.512 -1.717 1.172
-4.213 -4.465 -3.699
-2.113 -3.581 3.815
```

Properties
total moment = 0.00 μB per cell
DOS(E_F) = 0.236 states/eV/atom
E = -14.34 eV for the cell shown

---

(6)
VASP calculation (PBE) on a relaxed structure of Li4CdAgHg2.

```
Li4CdAgHg2
1.0
-1.136 -3.026 -3.313
2.901 -0.771 -3.523
3.894 -6.818 1.658
Hg Li Cd Ag
2 4 1 1
Cartesian
4.243 -7.959 -3.885
1.416 -2.656 -1.293
1.622 -3.280 -4.027
3.035 -5.930 -5.324
2.624 -4.685 0.146
4.037 -7.335 -1.151
0.000 0.000 0.000
2.830 -5.307 -2.589
```

Properties
total moment = 0.00 μB per cell
DOS(E_F) = 0.338 states/eV/atom
E = -14.42 eV for the cell shown

---

Formation energy from the elements list, top to bottom, in eV/atom: -0.047 -0.176 -0.062 -0.165 -0.098 -0.299